# BaPuSb

A relaxed BaPuSb crystal (PBE, the Open Quantum Materials Database).

total magnetization	27.39	μB per cell
total energy	-0.506	Ry per atom
calculated volume	443	Å³/cell

abc: 7.6219 7.6219 7.6219
angles: 90.00 90.00 90.00
Fractional coordinates of all 12 atoms:
Ba (0.0000, 0.0000, 0.0000)
Ba (0.0000, 0.5000, 0.5000)
Ba (0.5000, 0.0000, 0.5000)
Ba (0.5000, 0.5000, 0.0000)
Pu (0.2500, 0.2500, 0.2500)
Pu (0.2500, 0.7500, 0.7500)
Pu (0.7500, 0.2500, 0.7500)
Pu (0.7500, 0.7500, 0.2500)
Sb (0.0000, 0.0000, 0.5000)
Sb (0.0000, 0.5000, 0.0000)
Sb (0.5000, 0.0000, 0.0000)
Sb (0.5000, 0.5000, 0.5000)